Record 1
# YAl2Se (PBE-GGA, relaxed)
# Electronic total energy, eV per atom: -4.59
# E_form (uncorrected), eV/f.u.: -0.94
data_YAl2Se
_cell_length_a 8.751
_cell_length_b 8.751
_cell_length_c 8.751
_cell_angle_alpha 23.12
_cell_angle_beta 23.12
_cell_angle_gamma 23.12
_space_group_name_H-M_alt 'P 1'
_space_group_IT_number 1
loop_
_space_group_symop_operation_xyz
'x,y,z'
loop_
_atom_site_label
_atom_site_type_symbol
_atom_site_fract_x
_atom_site_fract_y
_atom_site_fract_z
Se1 Se 0.250 0.250 0.250
Al1 Al 0.986 0.986 0.986
Y1 Y 0.750 0.750 0.750
Al2 Al 0.514 0.514 0.514



Record 2
# CdTe2Rh (PBE-GGA, relaxed)
# Electronic total energy, eV per atom: -3.74
# E_form (uncorrected), eV/f.u.: -0.39
data_CdTe2Rh
_cell_length_a 3.212
_cell_length_b 3.212
_cell_length_c 9.400
_cell_angle_alpha 90.00
_cell_angle_beta 90.00
_cell_angle_gamma 90.00
_space_group_name_H-M_alt 'P 1'
_space_group_IT_number 1
loop_
_space_group_symop_operation_xyz
'x,y,z'
loop_
_atom_site_label
_atom_site_type_symbol
_atom_site_fract_x
_atom_site_fract_y
_atom_site_fract_z
Te1 Te 0.000 0.000 0.914
Rh1 Rh 0.500 0.500 0.754
Te2 Te 0.500 0.500 0.278
Cd1 Cd 0.000 0.000 0.554



Which of these has the highest electronic total energy?
CdTe2Rh



Which formula does entry 1 have?
YAl2Se



Which of these has the lowest E_form (uncorrected)?
YAl2Se